[1]
DFT (PBE) results for crystalline K2LaPbO4 at its relaxed geometry.

Unit cell a=6.2824 b=3.7017 c=6.6882 alpha=90.00 beta=109.08 gamma=90.00
Closest atoms and distances in Å follow each position.
Fractional positions:
K1 0.0000 0.0000 0.0000  6 O 2.82-2.87
K2 0.5000 0.5000 0.0000  6 O 2.83-2.86
La1 0.0000 0.5000 0.5000  6 O 2.44-2.49
Pb1 0.5000 0.0000 0.5000  6 O 2.44-2.49
O1 0.2259 0.0000 0.6977  2 La 2.44, 1 Pb 2.49
O2 0.2742 0.5000 0.3026  2 Pb 2.44, 1 La 2.49
O3 0.7258 0.5000 0.6974  2 Pb 2.44, 1 La 2.49
O4 0.7741 0.0000 0.3023  2 La 2.44, 1 Pb 2.49

Computed properties:
Formation energy (no corrections)   -1.888 eV per atom
Calculated volume   147.0 Å³/cell

---

[2]
DFT (PBE) results for crystalline KLa4Pb3O12 at its relaxed geometry.

Unit cell a=7.7249 b=7.7249 c=7.7249 alpha=109.47 beta=109.47 gamma=109.47
Closest atoms and distances in Å follow each position.
Fractional positions:
K1 0.0000 0.0000 0.0000  12 O 3.26
La1 0.0000 0.0000 0.5000  6 O 2.43
La2 0.0000 0.5000 0.0000  6 O 2.43
La3 0.5000 0.0000 0.0000  6 O 2.43
La4 0.5000 0.5000 0.5000  6 O 2.43
Pb1 0.0000 0.5000 0.5000  4 O 2.19
Pb2 0.5000 0.0000 0.5000  4 O 2.19
Pb3 0.5000 0.5000 0.0000  4 O 2.19
O1 0.1524 0.3232 0.8292  1 Pb 2.19, 2 La 2.43
O2 0.1708 0.4940 0.3232  1 Pb 2.19, 2 La 2.43
O3 0.1708 0.8476 0.6768  1 Pb 2.19, 2 La 2.43
O4 0.3232 0.1708 0.4940  1 Pb 2.19, 2 La 2.43
O5 0.3232 0.8292 0.1524  1 Pb 2.19, 2 La 2.43
O6 0.4940 0.3232 0.1708  1 Pb 2.19, 2 La 2.43
O7 0.5060 0.6768 0.8292  1 Pb 2.19, 2 La 2.43
O8 0.6768 0.1708 0.8476  1 Pb 2.19, 2 La 2.43
O9 0.6768 0.8292 0.5060  1 Pb 2.19, 2 La 2.43
O10 0.8292 0.1524 0.3232  1 Pb 2.19, 2 La 2.43
O11 0.8292 0.5060 0.6768  1 Pb 2.19, 2 La 2.43
O12 0.8476 0.6768 0.1708  1 Pb 2.19, 2 La 2.43

Computed properties:
Formation energy (no corrections)   -2.105 eV per atom
Calculated volume   354.9 Å³/cell

---

[3]
DFT (PBE) results for crystalline KLa2PdO at its relaxed geometry.

Unit cell a=5.5531 b=5.5531 c=4.3196 alpha=90.00 beta=90.00 gamma=90.00
Closest atoms and distances in Å follow each position.
Fractional positions:
K1 0.0000 0.0000 0.0000  2 O 2.16
La1 0.0000 0.5000 0.0000  2 K 2.78
La2 0.5000 0.0000 0.0000  2 K 2.78
Pd1 0.5000 0.5000 0.5000  8 La 3.52, 4 O 3.93
O1 0.0000 0.0000 0.5000  2 K 2.16

Computed properties:
Formation energy (no corrections)   0.385 eV per atom
Calculated volume   133.2 Å³/cell

---

[4]
DFT (PBE) results for crystalline K2LaPdO4 at its relaxed geometry.

Unit cell a=5.7021 b=3.6824 c=6.5442 alpha=90.00 beta=108.75 gamma=90.00
Closest atoms and distances in Å follow each position.
Fractional positions:
K1 0.0000 0.0000 0.0000  6 O 2.85-2.88
K2 0.5000 0.5000 0.0000  6 O 2.66-2.76
La1 0.0000 0.5000 0.5000  6 O 2.38-2.44
Pd1 0.5000 0.0000 0.5000  6 O 2.12-2.32
O1 0.2602 0.0000 0.6894  1 Pd 2.12
O2 0.2926 0.5000 0.3109  2 Pd 2.32, 1 La 2.38
O3 0.7074 0.5000 0.6891  2 Pd 2.32, 1 La 2.38
O4 0.7398 0.0000 0.3106  1 Pd 2.12

Computed properties:
Formation energy (no corrections)   -1.641 eV per atom
Calculated volume   130.1 Å³/cell

---

[5]
DFT (PBE) results for crystalline K3La3PdO8 at its relaxed geometry.

Unit cell a=7.5175 b=7.5175 c=7.5175 alpha=57.06 beta=57.06 gamma=57.06
Closest atoms and distances in Å follow each position.
Fractional positions:
K1 0.0000 0.5000 0.5000  6 O 2.83-2.84
K2 0.5000 0.0000 0.5000  6 O 2.83-2.84
K3 0.5000 0.5000 0.0000  6 O 2.83-2.84
La1 0.0000 0.0000 0.5000  6 O 2.39-2.46
La2 0.0000 0.5000 0.0000  6 O 2.39-2.46
La3 0.5000 0.0000 0.0000  6 O 2.39-2.46
Pd1 0.5000 0.5000 0.5000  6 O 2.14
O1 0.2301 0.2301 0.2301  3 La 2.39
O2 0.2634 0.7064 0.7064  1 Pd 2.14
O3 0.2936 0.2936 0.7366  1 Pd 2.14
O4 0.2936 0.7366 0.2936  1 Pd 2.14
O5 0.7064 0.2634 0.7064  1 Pd 2.14
O6 0.7064 0.7064 0.2634  1 Pd 2.14
O7 0.7366 0.2936 0.2936  1 Pd 2.14
O8 0.7699 0.7699 0.7699  3 La 2.39

Computed properties:
Formation energy (no corrections)   -2.186 eV per atom
Calculated volume   280.0 Å³/cell

---

[6]
DFT (PBE) results for crystalline KLa2PdO5 at its relaxed geometry.

Unit cell a=6.9824 b=6.9824 c=5.9197 alpha=90.00 beta=90.00 gamma=90.00
Closest atoms and distances in Å follow each position.
Fractional positions:
K1 0.0000 0.0000 0.0000  10 O 2.96-3.10
K2 0.5000 0.5000 0.0000  10 O 2.96-3.10
La1 0.1785 0.3215 0.5000  4 O 2.36-2.57
La2 0.3215 0.8215 0.5000  4 O 2.36-2.57
La3 0.6785 0.1785 0.5000  4 O 2.36-2.57
La4 0.8215 0.6785 0.5000  4 O 2.36-2.57
Pd1 0.0000 0.5000 0.0000  4 O 1.99
Pd2 0.5000 0.0000 0.0000  4 O 1.99
O1 0.0000 0.0000 0.5000  4 La 2.57
O2 0.1345 0.6345 0.2514  1 Pd 1.99
O3 0.1345 0.6345 0.7486  1 Pd 1.99
O4 0.3655 0.1345 0.2514  1 Pd 1.99
O5 0.3655 0.1345 0.7486  1 Pd 1.99
O6 0.5000 0.5000 0.5000  4 La 2.57
O7 0.6345 0.8655 0.2514  1 Pd 1.99
O8 0.6345 0.8655 0.7486  1 Pd 1.99
O9 0.8655 0.3655 0.2514  1 Pd 1.99
O10 0.8655 0.3655 0.7486  1 Pd 1.99

Computed properties:
Formation energy (no corrections)   -2.270 eV per atom
Calculated volume   288.6 Å³/cell

---

[7]
DFT (PBE) results for crystalline K3LaPm2O6 at its relaxed geometry.

Unit cell a=6.3208 b=6.3208 c=6.6422 alpha=99.13 beta=99.13 gamma=120.00
Closest atoms and distances in Å follow each position.
Fractional positions:
K1 0.0000 0.0000 0.0000  6 O 2.84-2.89
K2 0.3322 0.6678 0.0000  6 O 2.84-2.89
K3 0.6678 0.3322 0.0000  6 O 2.84-2.89
La1 0.5000 0.5000 0.5000  6 O 2.46
Pm1 0.1666 0.8334 0.5000  6 O 2.41
Pm2 0.8334 0.1666 0.5000  6 O 2.41
O1 0.0973 0.4366 0.3100  2 Pm 2.41, 1 La 2.46
O2 0.2242 0.2242 0.6904  2 Pm 2.41, 1 La 2.46
O3 0.4366 0.0973 0.3100  2 Pm 2.41, 1 La 2.46
O4 0.5634 0.9027 0.6900  2 Pm 2.41, 1 La 2.46
O5 0.7758 0.7758 0.3096  2 Pm 2.41, 1 La 2.46
O6 0.9027 0.5634 0.6900  2 Pm 2.41, 1 La 2.46

Computed properties:
Formation energy (no corrections)   -2.651 eV per atom
Calculated volume   217.9 Å³/cell

---

[8]
DFT (PBE) results for crystalline K2LaPmO4 at its relaxed geometry.

Unit cell a=6.3540 b=3.6683 c=6.6453 alpha=90.00 beta=108.60 gamma=90.00
Closest atoms and distances in Å follow each position.
Fractional positions:
K1 0.0000 0.0000 0.0000  6 O 2.89-2.91
K2 0.5000 0.5000 0.0000  6 O 2.86-2.87
La1 0.0000 0.5000 0.5000  6 O 2.45-2.46
Pm1 0.5000 0.0000 0.5000  6 O 2.40-2.42
O1 0.2356 0.0000 0.6903  1 Pm 2.40, 2 La 2.45
O2 0.2747 0.5000 0.3098  2 Pm 2.42, 1 La 2.46
O3 0.7253 0.5000 0.6902  2 Pm 2.42, 1 La 2.46
O4 0.7644 0.0000 0.3097  1 Pm 2.40, 2 La 2.45

Computed properties:
Formation energy (no corrections)   -2.653 eV per atom
Calculated volume   146.8 Å³/cell

---

[9]
DFT (PBE) results for crystalline KLaPm4O8 at its relaxed geometry.

Unit cell a=7.2259 b=7.2259 c=7.2259 alpha=59.41 beta=59.41 gamma=59.41
Closest atoms and distances in Å follow each position.
Fractional positions:
K1 0.0000 0.0000 0.0000  4 O 2.58-2.60
La1 0.6277 0.6277 0.6277  6 O 2.34-2.55
Pm1 0.1164 0.6282 0.6282  6 O 2.30-2.51
Pm2 0.2497 0.2497 0.2497  4 O 2.30-2.34
Pm3 0.6282 0.1164 0.6282  6 O 2.30-2.51
Pm4 0.6282 0.6282 0.1164  6 O 2.30-2.51
O1 0.3775 0.3775 0.8577  3 Pm 2.30-2.50, 1 La 2.55
O2 0.3775 0.8577 0.3775  3 Pm 2.30-2.50, 1 La 2.55
O3 0.3814 0.3814 0.3814  4 Pm 2.34-2.51
O4 0.4404 0.8555 0.8555  2 Pm 2.30, 1 La 2.34
O5 0.8536 0.8536 0.8536  3 Pm 2.31
O6 0.8555 0.4404 0.8555  2 Pm 2.30, 1 La 2.34
O7 0.8555 0.8555 0.4404  2 Pm 2.30, 1 La 2.34
O8 0.8577 0.3775 0.3775  3 Pm 2.30-2.50, 1 La 2.55

Computed properties:
Formation energy (no corrections)   -3.102 eV per atom
Calculated volume   263.2 Å³/cell

---

[10]
DFT (PBE) results for crystalline K3La2PmO6 at its relaxed geometry.

Unit cell a=6.3885 b=6.3885 c=6.6481 alpha=99.22 beta=99.22 gamma=120.01
Closest atoms and distances in Å follow each position.
Fractional positions:
K1 0.0000 0.0000 0.0000  6 O 2.87-2.92
K2 0.3348 0.6652 0.0000  6 O 2.86-2.92
K3 0.6652 0.3348 0.0000  6 O 2.86-2.92
La1 0.1667 0.8333 0.5000  6 O 2.46
La2 0.8333 0.1667 0.5000  6 O 2.46
Pm1 0.5000 0.5000 0.5000  6 O 2.41
O1 0.1090 0.4365 0.3093  1 Pm 2.41, 2 La 2.46
O2 0.2360 0.2360 0.6902  1 Pm 2.41, 2 La 2.46
O3 0.4365 0.1090 0.3093  1 Pm 2.41, 2 La 2.46
O4 0.5635 0.8910 0.6907  1 Pm 2.41, 2 La 2.46
O5 0.7640 0.7640 0.3098  1 Pm 2.41, 2 La 2.46
O6 0.8910 0.5635 0.6907  1 Pm 2.41, 2 La 2.46

Computed properties:
Formation energy (no corrections)   -2.657 eV per atom
Calculated volume   222.6 Å³/cell

---

[11]
DFT (PBE) results for crystalline K2La2PtO6 at its relaxed geometry.

Unit cell a=6.0684 b=6.0684 c=6.6105 alpha=97.00 beta=97.00 gamma=119.28
Closest atoms and distances in Å follow each position.
Fractional positions:
K1 0.1511 0.8489 0.0000  4 O 2.71-2.75
K2 0.8489 0.1511 0.0000  4 O 2.71-2.75
La1 0.3370 0.6630 0.5000  6 O 2.41-2.45
La2 0.6630 0.3370 0.5000  6 O 2.41-2.45
Pt1 0.0000 0.0000 0.5000  6 O 2.10-2.12
O1 0.0394 0.3417 0.6706  1 Pt 2.12
O2 0.2377 0.2377 0.3175  1 Pt 2.10
O3 0.3417 0.0394 0.6706  1 Pt 2.12
O4 0.6583 0.9606 0.3294  1 Pt 2.12
O5 0.7623 0.7623 0.6825  1 Pt 2.10
O6 0.9606 0.6583 0.3294  1 Pt 2.12

Computed properties:
Formation energy (no corrections)   -2.048 eV per atom
Calculated volume   206.1 Å³/cell

---

[12]
DFT (PBE) results for crystalline KLa2PtO5 at its relaxed geometry.

Unit cell a=7.0050 b=7.0050 c=5.9167 alpha=90.00 beta=90.00 gamma=90.00
Closest atoms and distances in Å follow each position.
Fractional positions:
K1 0.0000 0.0000 0.0000  10 O 2.96-3.11
K2 0.5000 0.5000 0.0000  10 O 2.96-3.11
La1 0.1812 0.3188 0.5000  4 O 2.36-2.57
La2 0.3188 0.8188 0.5000  4 O 2.36-2.57
La3 0.6812 0.1812 0.5000  4 O 2.36-2.57
La4 0.8188 0.6812 0.5000  4 O 2.36-2.57
Pt1 0.0000 0.5000 0.0000  4 O 1.99
Pt2 0.5000 0.0000 0.0000  4 O 1.99
O1 0.0000 0.0000 0.5000  4 La 2.57
O2 0.1335 0.6335 0.2507  1 Pt 1.99
O3 0.1335 0.6335 0.7493  1 Pt 1.99
O4 0.3665 0.1335 0.2507  1 Pt 1.99
O5 0.3665 0.1335 0.7493  1 Pt 1.99
O6 0.5000 0.5000 0.5000  4 La 2.57
O7 0.6335 0.8665 0.2507  1 Pt 1.99
O8 0.6335 0.8665 0.7493  1 Pt 1.99
O9 0.8665 0.3665 0.2507  1 Pt 1.99
O10 0.8665 0.3665 0.7493  1 Pt 1.99

Computed properties:
Formation energy (no corrections)   -2.312 eV per atom
Calculated volume   290.3 Å³/cell

---

no.,theoretical density (g/cm3),total energy (eV for the cell shown)
1,5.5,-45.77
2,6.6,-133.53
3,5.5,-19.18
4,4.9,-45.28
5,4.6,-95.72
6,5.8,-122.74
7,4.9,-79.28
8,4.8,-52.93
9,5.6,-108.12
10,4.7,-79.53
11,5.2,-70.37
12,6.8,-125.19